# 1
BaIBr3 (PBE, optimized geometry); distance to the lowest polymorph of the same formula = 621 meV/atom; D(E_F) = 1.84 states/eV per cell; formation energy (no corrections) = -0.68 eV/atom; calculated volume = 44.23 Å³ per atom; uncorrected energy = -2.37 eV/atom; space-group type = Pm-3m, No. 221; total moment = 0.0 μB/f.u.
1.0
6.047 0.000 0.000
0.000 6.047 0.000
0.000 0.000 6.047
Ba I Br
1 1 3
Direct
0.000 0.000 0.000
0.500 0.500 0.500
0.000 0.500 0.500
0.500 0.000 0.500
0.500 0.500 0.000

---

# 2
PrY2Th3Se6 (PBE, optimized geometry); D(E_F) = 7.92 states/eV per cell; formation energy (no corrections) = -1.65 eV/atom; calculated volume = 25.74 Å³ per atom; uncorrected energy = -6.72 eV/atom; space-group type = C2/m, No. 12; total moment = 0.0 μB/f.u.
1.0
3.574 -6.118 0.000
3.574 6.118 0.000
-2.327 0.000 7.061
Pr Y Th Se
1 2 3 6
Direct
0.000 0.000 0.000
0.332 0.668 0.000
0.668 0.332 0.000
0.159 0.841 0.500
0.500 0.500 0.500
0.841 0.159 0.500
0.082 0.425 0.244
0.267 0.267 0.766
0.425 0.082 0.244
0.575 0.918 0.756
0.733 0.733 0.234
0.918 0.575 0.756

---

# 3
GaI2Br (PBE, optimized geometry); distance to the lowest polymorph of the same formula = 391 meV/atom; D(E_F) = 0.00 states/eV per cell; formation energy (no corrections) = -0.14 eV/atom; calculated volume = 35.70 Å³ per atom; uncorrected energy = -2.09 eV/atom; space-group type = I-42d, No. 122; total moment = 0.0 μB/f.u.
1.0
-4.068 4.068 4.315
4.068 -4.068 4.315
4.068 4.068 -4.315
Ga I Br
2 4 2
Direct
0.000 0.000 0.000
0.750 0.250 0.500
0.054 0.625 0.929
0.375 0.304 0.429
0.696 0.125 0.071
0.875 0.946 0.571
0.250 0.750 0.500
0.500 0.500 0.000

---

# 4
DyInPt (PBE, optimized geometry); D(E_F) = 3.78 states/eV per cell; calculated volume = 24.78 Å³ per atom; uncorrected energy = -5.33 eV/atom; ΔH_f (0 K) = -0.8698 eV per atom; space-group type = F-43m, No. 216; total moment = 0.0 μB/f.u.
1.0
0.000 3.337 3.337
3.337 0.000 3.337
3.337 3.337 0.000
Dy In Pt
1 1 1
Direct
0.000 0.000 0.000
0.500 0.500 0.500
0.750 0.750 0.750

---

# 5
KEr4S6 (PBE, optimized geometry); D(E_F) = 4.23 states/eV per cell; formation energy (no corrections) = -1.95 eV/atom; calculated volume = 24.04 Å³ per atom; uncorrected energy = -5.96 eV/atom; space-group type = Cmcm, No. 63; total moment = 0.0 μB/f.u.
1.0
1.958 -6.519 0.000
1.958 6.519 0.000
0.000 0.000 20.725
K Er S
2 8 12
Direct
0.152 0.848 0.750
0.848 0.152 0.250
0.100 0.900 0.134
0.100 0.900 0.366
0.369 0.631 0.041
0.369 0.631 0.459
0.631 0.369 0.541
0.631 0.369 0.959
0.900 0.100 0.634
0.900 0.100 0.866
0.000 0.000 0.000
0.000 0.000 0.500
0.165 0.835 0.250
0.271 0.729 0.579
0.271 0.729 0.921
0.465 0.535 0.152
0.465 0.535 0.348
0.535 0.465 0.652
0.535 0.465 0.848
0.729 0.271 0.079
0.729 0.271 0.421
0.835 0.165 0.750

---

# 6
Li2AlW (PBE, optimized geometry); D(E_F) = 2.15 states/eV per cell; calculated volume = 15.52 Å³ per atom; uncorrected energy = -4.91 eV/atom; ΔH_f (0 K) = 0.2167 eV per atom; space-group type = Pmmm, No. 47; total moment = 0.0 μB/f.u.
1.0
2.700 0.000 0.000
0.000 4.681 0.000
0.000 0.000 4.912
Li Al W
2 1 1
Direct
0.000 0.000 0.000
0.500 0.500 0.000
0.000 0.500 0.500
0.500 0.000 0.500

---

# 7
InGe3P (PBE, optimized geometry); distance to the lowest polymorph of the same formula = 666 meV/atom; D(E_F) = 2.53 states/eV per cell; calculated volume = 27.84 Å³ per atom; uncorrected energy = -3.23 eV/atom; ΔH_f (0 K) = 1.1719 eV per atom; space-group type = Pm-3m, No. 221; total moment = 0.0 μB/f.u.
1.0
5.182 0.000 0.000
0.000 5.182 0.000
0.000 0.000 5.182
In Ge P
1 3 1
Direct
0.000 0.000 0.000
0.000 0.000 0.500
0.000 0.500 0.000
0.500 0.000 0.000
0.500 0.500 0.500

---

# 8
PmGdBe (PBE, optimized geometry); D(E_F) = 3.11 states/eV per cell; calculated volume = 25.25 Å³ per atom; uncorrected energy = -7.41 eV/atom; ΔH_f (0 K) = 0.1141 eV per atom; space-group type = I4mm, No. 107; total moment = 7.5 μB/f.u.
1.0
-1.767 1.767 6.061
1.767 -1.767 6.061
1.767 1.767 -6.061
Pm Gd Be
1 1 1
Direct
0.000 0.000 0.000
0.272 0.272 0.000
0.640 0.640 0.000

---

# 9
PaMn2Si2P (PBE, optimized geometry); D(E_F) = 4.94 states/eV per cell; formation energy (no corrections) = -0.40 eV/atom; calculated volume = 15.90 Å³ per atom; uncorrected energy = -7.75 eV/atom; space-group type = P4/mmm, No. 123; total moment = 4.1 μB/f.u.
1.0
4.251 0.000 0.000
0.000 4.251 0.000
0.000 0.000 5.278
Pa Mn Si P
1 2 2 1
Direct
0.000 0.000 0.000
0.000 0.500 0.500
0.500 0.000 0.500
0.500 0.500 0.230
0.500 0.500 0.770
0.000 0.000 0.500

---

# 10
NbMoAs2Br (PBE, optimized geometry); distance to the lowest polymorph of the same formula = 39 meV/atom; D(E_F) = 4.95 states/eV per cell; formation energy (no corrections) = 0.89 eV/atom; calculated volume = 24.45 Å³ per atom; uncorrected energy = -5.48 eV/atom; space-group type = P4/mmm, No. 123; total moment = 4.2 μB/f.u.
1.0
4.843 0.000 0.000
0.000 4.843 0.000
0.000 0.000 5.213
Nb Mo As Br
1 1 2 1
Direct
0.000 0.000 0.000
0.500 0.500 0.500
0.000 0.500 0.500
0.500 0.000 0.500
0.500 0.500 0.000

---

# 11
RbTlH3 (PBE, optimized geometry); distance to the lowest polymorph of the same formula = 752 meV/atom; D(E_F) = 3.31 states/eV per cell; calculated volume = 24.41 Å³ per atom; uncorrected energy = -1.91 eV/atom; space-group type = Pm-3m, No. 221; total moment = 1.0 μB/f.u.
1.0
4.960 0.000 0.000
0.000 4.960 0.000
0.000 0.000 4.960
Rb Tl H
1 1 3
Direct
0.000 0.000 0.000
0.500 0.500 0.500
0.000 0.000 0.500
0.000 0.500 0.000
0.500 0.000 0.000

---

# 12
Tl2ReBr8 (PBE, optimized geometry); D(E_F) = 9.85 states/eV per cell; formation energy (no corrections) = -0.40 eV/atom; calculated volume = 36.52 Å³ per atom; uncorrected energy = -3.18 eV/atom; space-group type = C2/m, No. 12; total moment = 1.7 μB/f.u.
1.0
6.631 -4.996 0.000
6.631 4.996 0.000
-0.670 0.000 6.064
Tl Re Br
2 1 8
Direct
0.115 0.115 0.302
0.885 0.885 0.698
0.500 0.500 0.500
0.118 0.118 0.799
0.241 0.588 0.710
0.354 0.354 0.209
0.412 0.759 0.290
0.588 0.241 0.710
0.646 0.646 0.791
0.759 0.412 0.290
0.882 0.882 0.201

---

# 13
TiB2F (PBE, optimized geometry); distance to the lowest polymorph of the same formula = 1016 meV/atom; D(E_F) = 2.34 states/eV per cell; formation energy (no corrections) = 0.76 eV/atom; calculated volume = 10.51 Å³ per atom; uncorrected energy = -5.02 eV/atom; space-group type = Fm-3m, No. 225; total moment = 0.0 μB/f.u.
1.0
0.000 2.760 2.760
2.760 0.000 2.760
2.760 2.760 0.000
Ti B F
1 2 1
Direct
0.000 0.000 0.000
0.250 0.250 0.250
0.750 0.750 0.750
0.500 0.500 0.500

---

# 14
TlBiIr (PBE, optimized geometry); D(E_F) = 2.59 states/eV per cell; calculated volume = 25.06 Å³ per atom; uncorrected energy = -4.85 eV/atom; ΔH_f (0 K) = 0.1886 eV per atom; space-group type = C2/m, No. 12; total moment = 0.0 μB/f.u.
1.0
6.779 -2.047 0.000
6.779 2.047 0.000
-1.060 0.000 5.417
Tl Bi Ir
2 2 2
Direct
0.170 0.170 0.339
0.830 0.830 0.661
0.437 0.437 0.218
0.563 0.563 0.782
0.200 0.200 0.855
0.800 0.800 0.145

---

# 15
Dy3Th2Fe2 (PBE, optimized geometry); D(E_F) = 6.68 states/eV per cell; calculated volume = 25.63 Å³ per atom; uncorrected energy = -6.56 eV/atom; ΔH_f (0 K) = -0.0471 eV per atom; space-group type = P-1, No. 2; total moment = 0.0 μB/f.u.
1.0
3.685 0.000 0.000
1.837 5.959 0.000
1.840 2.519 8.169
Dy Th Fe
3 2 2
Direct
0.000 0.000 0.000
0.120 0.174 0.587
0.880 0.826 0.413
0.329 0.542 0.800
0.671 0.458 0.200
0.302 0.164 0.232
0.698 0.836 0.768

---

# 16
LiScTl2Br6 (PBE, optimized geometry); D(E_F) = 0.00 states/eV per cell; formation energy (no corrections) = -1.33 eV/atom; calculated volume = 30.59 Å³ per atom; uncorrected energy = -3.63 eV/atom; space-group type = P2_1/c, No. 14; total moment = 0.0 μB/f.u.
1.0
7.480 0.000 0.000
0.000 7.681 0.000
-7.448 0.000 10.649
Li Sc Tl Br
2 2 4 12
Direct
0.000 0.000 0.000
0.000 0.500 0.500
0.500 0.000 0.500
0.500 0.500 0.000
0.233 0.062 0.749
0.233 0.438 0.249
0.767 0.562 0.751
0.767 0.938 0.251
0.177 0.202 0.464
0.177 0.298 0.964
0.266 0.715 0.465
0.266 0.785 0.965
0.325 0.008 0.254
0.325 0.492 0.754
0.675 0.508 0.246
0.675 0.992 0.746
0.734 0.215 0.035
0.734 0.285 0.535
0.823 0.702 0.036
0.823 0.798 0.536

---

# 17
Gd2TcIr (PBE, optimized geometry); distance to the lowest polymorph of the same formula = 12 meV/atom; D(E_F) = 5.23 states/eV per cell; calculated volume = 20.51 Å³ per atom; uncorrected energy = -12.09 eV/atom; ΔH_f (0 K) = -0.2381 eV per atom; space-group type = Fm-3m, No. 225; total moment = 13.9 μB/f.u.
1.0
0.000 3.449 3.449
3.449 0.000 3.449
3.449 3.449 0.000
Gd Tc Ir
2 1 1
Direct
0.250 0.250 0.250
0.750 0.750 0.750
0.000 0.000 0.000
0.500 0.500 0.500

---

# 18
Cs2ScI6Cl (PBE, optimized geometry); D(E_F) = 5.68 states/eV per cell; formation energy (no corrections) = -1.00 eV/atom; calculated volume = 46.77 Å³ per atom; uncorrected energy = -2.92 eV/atom; space-group type = I4/mmm, No. 139; total moment = 0.0 μB/f.u.
1.0
-4.207 4.207 6.606
4.207 -4.207 6.606
4.207 4.207 -6.606
Cs Sc I Cl
2 1 6 1
Direct
0.250 0.750 0.500
0.750 0.250 0.500
0.000 0.000 0.000
0.216 0.216 0.000
0.245 0.245 0.489
0.245 0.755 0.000
0.755 0.245 0.000
0.755 0.755 0.511
0.784 0.784 0.000
0.500 0.500 0.000

---

# 19
ScSCl2F (PBE, optimized geometry); distance to the lowest polymorph of the same formula = 0 meV/atom; D(E_F) = 4.05 states/eV per cell; formation energy (no corrections) = -1.04 eV/atom; calculated volume = 24.82 Å³ per atom; uncorrected energy = -4.25 eV/atom; space-group type = P4/mmm, No. 123; total moment = 2.0 μB/f.u.
1.0
4.849 0.000 0.000
0.000 4.849 0.000
0.000 0.000 5.278
Sc S Cl F
1 1 2 1
Direct
0.000 0.000 0.000
0.000 0.000 0.500
0.000 0.500 0.000
0.500 0.000 0.000
0.500 0.500 0.500

---

# 20
AlTcHgO6 (PBE, optimized geometry); formation energy (no corrections) = -1.41 eV/atom; calculated volume = 12.25 Å³ per atom; uncorrected energy = -6.32 eV/atom; space-group type = P312, No. 149; total moment = 0.0 μB/f.u.
1.0
5.081 0.000 0.000
-2.540 4.400 0.000
0.000 0.000 4.933
Al Tc Hg O
1 1 1 6
Direct
0.000 0.000 0.000
0.333 0.667 0.000
0.667 0.333 0.500
0.045 0.334 0.212
0.045 0.710 0.788
0.290 0.334 0.788
0.290 0.955 0.212
0.666 0.710 0.212
0.666 0.955 0.788

---

# 21
LaTaReOs2 (PBE, optimized geometry); D(E_F) = 5.39 states/eV per cell; calculated volume = 22.64 Å³ per atom; uncorrected energy = -9.12 eV/atom; ΔH_f (0 K) = 1.2139 eV per atom; space-group type = P4/mmm, No. 123; total moment = 0.5 μB/f.u.
1.0
4.832 0.000 0.000
0.000 4.832 0.000
0.000 0.000 4.847
La Ta Re Os
1 1 1 2
Direct
0.000 0.000 0.000
0.500 0.500 0.500
0.500 0.500 0.000
0.000 0.500 0.500
0.500 0.000 0.500

---

# 22
KIn4Cl5 (PBE, optimized geometry); D(E_F) = 0.00 states/eV per cell; formation energy (no corrections) = -1.03 eV/atom; calculated volume = 33.29 Å³ per atom; uncorrected energy = -3.16 eV/atom; space-group type = I4/m, No. 87; total moment = 0.0 μB/f.u.
1.0
-5.094 5.094 3.207
5.094 -5.094 3.207
5.094 5.094 -3.207
K In Cl
1 4 5
Direct
0.000 0.000 0.000
0.201 0.398 0.599
0.398 0.799 0.197
0.602 0.201 0.803
0.799 0.602 0.401
0.103 0.708 0.811
0.292 0.103 0.395
0.500 0.500 0.000
0.708 0.897 0.605
0.897 0.292 0.189

---

# 23
Er2ThAl (PBE, optimized geometry); distance to the lowest polymorph of the same formula = 0 meV/atom; D(E_F) = 3.80 states/eV per cell; calculated volume = 27.10 Å³ per atom; uncorrected energy = -5.26 eV/atom; ΔH_f (0 K) = -0.1901 eV per atom; space-group type = P4/mmm, No. 123; total moment = 0.0 μB/f.u.
1.0
3.498 0.000 0.000
0.000 3.498 0.000
0.000 0.000 8.862
Er Th Al
2 1 1
Direct
0.000 0.000 0.217
0.000 0.000 0.783
0.500 0.500 0.500
0.500 0.500 0.000

---

# 24
Sr2AlTl2Hg4 (PBE, optimized geometry); D(E_F) = 6.12 states/eV per cell; calculated volume = 28.35 Å³ per atom; uncorrected energy = -1.70 eV/atom; ΔH_f (0 K) = -0.2529 eV per atom; space-group type = I4/mmm, No. 139; total moment = 0.0 μB/f.u.
1.0
-3.518 3.518 5.154
3.518 -3.518 5.154
3.518 3.518 -5.154
Sr Al Tl Hg
2 1 2 4
Direct
0.250 0.750 0.500
0.750 0.250 0.500
0.000 0.000 0.000
0.285 0.285 0.000
0.715 0.715 0.000
0.271 0.271 0.543
0.271 0.729 0.000
0.729 0.271 0.000
0.729 0.729 0.457